# 1
The following is a GGA-PBE calculation of an optimized crystal structure of PrPuC2, from Alexandria.

abc: 3.639 3.639 6.237
angles: 73.04 73.04 60.00
Each line ends with the local moment (μB).
Positions (direct):
Pr 0.500 0.500 0.500  -0.01
C 0.267 0.267 0.199  -0.19
C 0.733 0.733 0.801  -0.19
Pu 0.000 0.000 0.000  3.74

M_tot ... 0.806 μB per atom
DFT formation energy ... 0.144 eV per atom
E ... -9.245 eV per atom

=====

# 2
The following is a GGA-PBE calculation of an optimized crystal structure of PrPuC, from Alexandria.

abc: 6.536 3.530 3.530
angles: 120.00 90.00 90.00
Each line ends with the local moment (μB).
Positions (direct):
Pr 0.769 0.667 0.333  0.06
C 0.017 0.000 0.000  -0.13
Pu 0.213 0.333 0.667  5.03

M_tot ... 1.783 μB per atom
DFT formation energy ... 0.041 eV per atom
Excess energy over the best structure of this formula in the dataset ... 0 meV per atom
E ... -9.404 eV per atom

=====

# 3
The following is a GGA-PBE calculation of an optimized crystal structure of PrPuC, from Alexandria.

abc: 3.229 3.229 6.538
angles: 104.30 104.30 90.00
Each line ends with the local moment (μB).
Positions (direct):
Pr 0.045 0.045 0.089  0.07
C 0.681 0.681 0.363  -0.18
Pu 0.274 0.274 0.548  5.08

M_tot ... 1.712 μB per atom
DFT formation energy ... 0.360 eV per atom
Excess energy over the best structure of this formula in the dataset ... 319 meV per atom
E ... -9.085 eV per atom

=====

# 4
The following is a GGA-PBE calculation of an optimized crystal structure of PrPuC, from Alexandria.

abc: 4.178 5.417 6.253
angles: 115.67 90.00 90.00
Each line ends with the local moment (μB).
Positions (direct):
Pu 0.750 0.051 0.103  2.46
Pu 0.250 0.949 0.897  2.46
Pr 0.750 0.328 0.656  0.09
Pr 0.250 0.672 0.344  0.09
C 0.750 0.846 0.693  -0.08
C 0.250 0.154 0.307  -0.08

M_tot ... 0.843 μB per atom
DFT formation energy ... 0.168 eV per atom
Excess energy over the best structure of this formula in the dataset ... 127 meV per atom
E ... -9.277 eV per atom

=====

# 5
The following is a GGA-PBE calculation of an optimized crystal structure of Pr2PuC, from Alexandria.

abc: 3.628 3.628 10.354
angles: 79.91 79.91 60.00
Each line ends with the local moment (μB).
Positions (direct):
Pr 0.119 0.119 0.643  0.05
Pr 0.881 0.881 0.357  0.05
C 0.500 0.500 0.500  0.02
Pu 0.000 0.000 0.000  5.84

M_tot ... 1.720 μB per atom
DFT formation energy ... 0.234 eV per atom
E ... -8.045 eV per atom

=====

# 6
The following is a GGA-PBE calculation of an optimized crystal structure of Pr2Pu2Sb2C, from Alexandria.

abc: 4.754 4.754 9.038
angles: 105.25 105.25 90.00
Each line ends with the local moment (μB).
Positions (direct):
Pr 0.164 0.164 0.328  0.19
Pr 0.836 0.836 0.672  0.19
Pu 0.000 0.500 0.000  5.14
Pu 0.500 0.000 0.000  5.14
Sb 0.361 0.361 0.722  -0.06
Sb 0.639 0.639 0.278  -0.06
C 0.000 0.000 0.000  -0.24

M_tot ... 1.620 μB per atom
Formation energy from raw total energies ... -674.1 meV/atom
E ... -8.630 eV per atom

=====

# 7
The following is a GGA-PBE calculation of an optimized crystal structure of Pr2PuTc2C4, from Alexandria.

abc: 3.539 7.165 6.118
angles: 108.41 90.00 104.30
Each line ends with the local moment (μB).
Positions (direct):
Pr 0.867 0.733 0.474  0.01
Pr 0.133 0.267 0.526  0.01
Pu 0.000 0.000 0.000  4.76
Tc 0.320 0.640 0.998  0.13
Tc 0.680 0.360 0.002  0.13
C 0.777 0.554 0.799  0.01
C 0.223 0.446 0.201  0.01
C 0.457 0.914 0.229  -0.06
C 0.543 0.086 0.771  -0.06

M_tot ... 0.562 μB per atom
DFT formation energy ... 0.052 eV per atom
E ... -9.006 eV per atom

=====

# 8
The following is a GGA-PBE calculation of an optimized crystal structure of PrPu2TcC4, from Alexandria.

abc: 3.546 6.202 12.177
angles: 90.00 90.00 106.61
Each line ends with the local moment (μB).
Positions (direct):
Pr 0.102 0.204 0.750  0.02
Pr 0.898 0.796 0.250  0.02
Pu 0.371 0.742 0.540  4.52
Pu 0.629 0.258 0.040  4.52
Pu 0.629 0.258 0.460  4.52
Pu 0.371 0.742 0.960  4.52
Tc 0.838 0.677 0.750  0.26
Tc 0.162 0.323 0.250  0.26
C 0.257 0.515 0.124  -0.07
C 0.743 0.485 0.624  -0.07
C 0.743 0.485 0.876  -0.07
C 0.257 0.515 0.376  -0.07
C 0.000 0.000 0.500  -0.25
C 0.000 0.000 0.000  -0.25
C 0.424 0.848 0.750  -0.04
C 0.576 0.152 0.250  -0.04

M_tot ... 1.148 μB per atom
DFT formation energy ... 0.075 eV per atom
E ... -10.013 eV per atom

=====

# 9
The following is a GGA-PBE calculation of an optimized crystal structure of RbPr2C, from Alexandria.

abc: 3.798 3.798 11.556
angles: 80.54 80.54 60.00
Positions (direct):
Pr 0.125 0.125 0.624
Pr 0.875 0.875 0.376
C 0.500 0.500 0.500
Rb 0.000 0.000 0.000

M_tot ... 0.000 μB per atom
DFT formation energy ... 0.106 eV per atom
E ... -4.832 eV per atom

=====

# 10
The following is a GGA-PBE calculation of an optimized crystal structure of Pr2Re2C3, from Alexandria.

abc: 3.442 5.918 6.338
angles: 115.99 105.75 90.00
Positions (direct):
Pr 0.395 0.191 0.789
Pr 0.605 0.809 0.211
Re 0.161 0.318 0.322
Re 0.839 0.682 0.678
C 0.000 0.000 0.000
C 0.253 0.723 0.506
C 0.747 0.277 0.494

M_tot ... 0.000 μB per atom
DFT formation energy ... -0.164 eV per atom
E ... -9.039 eV per atom

=====

# 11
The following is a GGA-PBE calculation of an optimized crystal structure of Pr2ReC2, from Alexandria.

abc: 5.413 6.750 10.308
angles: 90.00 90.00 90.00
Positions (direct):
Pr 0.750 0.526 0.787
Pr 0.250 0.974 0.287
Pr 0.750 0.689 0.450
Pr 0.250 0.811 0.950
Pr 0.750 0.189 0.050
Pr 0.250 0.311 0.550
Pr 0.250 0.474 0.213
Pr 0.750 0.026 0.713
Re 0.250 0.269 0.856
Re 0.250 0.769 0.644
Re 0.750 0.231 0.356
Re 0.750 0.731 0.144
C 0.250 0.689 0.465
C 0.250 0.533 0.758
C 0.750 0.467 0.242
C 0.750 0.811 0.965
C 0.250 0.033 0.742
C 0.250 0.189 0.035
C 0.750 0.311 0.535
C 0.750 0.967 0.258

M_tot ... 0.000 μB per atom
DFT formation energy ... -0.231 eV per atom
Excess energy over the best structure of this formula in the dataset ... 0 meV per atom
E ... -8.322 eV per atom

=====

# 12
The following is a GGA-PBE calculation of an optimized crystal structure of Pr3ReC3, from Alexandria.

abc: 5.461 7.079 7.076
angles: 101.00 90.00 90.00
Positions (direct):
Pr 0.250 0.588 0.828
Pr 0.250 0.172 0.412
Pr 0.250 0.108 0.892
Pr 0.750 0.412 0.172
Pr 0.750 0.828 0.588
Pr 0.750 0.892 0.108
Re 0.750 0.304 0.696
Re 0.250 0.696 0.304
C 0.750 0.571 0.824
C 0.750 0.176 0.429
C 0.750 0.126 0.874
C 0.250 0.429 0.176
C 0.250 0.824 0.571
C 0.250 0.874 0.126

M_tot ... 0.000 μB per atom
DFT formation energy ... -0.187 eV per atom
E ... -7.966 eV per atom